1.
# PmNd2Hg5 PBE-GGA optimized geometry
data_PmNd2Hg5
_chemical_formula_sum 'Pm2 Nd4 Hg10'
_space_group_name_H-M_alt 'I 4/m m m'
_space_group_IT_number 139
_space_group_name_Hall '-I 4 2'
_cell_length_a 5.306
_cell_length_b 5.306
_cell_length_c 15.099
_cell_angle_alpha 90.00
_cell_angle_beta 90.00
_cell_angle_gamma 90.00
loop_
_atom_site_label
_atom_site_type_symbol
_atom_site_fract_x
_atom_site_fract_y
_atom_site_fract_z
Pm1 Pm 0.000 0.000 0.000
Nd1 Nd 0.000 0.000 0.268
Hg1 Hg 0.000 0.000 0.500
Hg2 Hg 0.000 0.500 0.121
# **Volume**: 425.2 Å³ per cell
# **Energy of formation**: -0.44 eV per atom

---

2.
# Pm8Nd2Hg PBE-GGA optimized geometry
data_Pm8Nd2Hg
_chemical_formula_sum 'Pm16 Nd4 Hg2'
_space_group_name_H-M_alt 'C 1 2/m 1'
_space_group_IT_number 12
_cell_length_a 17.793
_cell_length_b 5.616
_cell_length_c 7.936
_cell_angle_alpha 90.00
_cell_angle_beta 111.12
_cell_angle_gamma 90.00
loop_
_space_group_symop_operation_xyz
'x,y,z'
'-x,-y,-z'
'-x,y,-z'
'x,-y,z'
'x+1/2,y+1/2,z'
'-x+1/2,-y+1/2,-z'
'-x+1/2,y+1/2,-z'
'x+1/2,-y+1/2,z'
loop_
_atom_site_label
_atom_site_type_symbol
_atom_site_fract_x
_atom_site_fract_y
_atom_site_fract_z
Pm1 Pm 0.015 0.000 0.269
Pm2 Pm 0.101 0.500 0.928
Pm3 Pm 0.164 0.500 0.428
Pm4 Pm 0.181 0.000 0.731
Nd1 Nd 0.187 0.000 0.159
Hg1 Hg 0.000 0.500 0.500
# **Volume**: 739.8 Å³ per cell
# **Energy of formation**: 0.02 eV per atom

---

3.
# Pm4NdHg PBE-GGA optimized geometry
data_Pm4NdHg
_chemical_formula_sum 'Pm4 Nd1 Hg1'
_space_group_name_H-M_alt 'P 4/m m m'
_space_group_IT_number 123
_space_group_name_Hall '-P 4 2'
_cell_length_a 3.688
_cell_length_b 3.688
_cell_length_c 14.277
_cell_angle_alpha 90.00
_cell_angle_beta 90.00
_cell_angle_gamma 90.00
loop_
_atom_site_label
_atom_site_type_symbol
_atom_site_fract_x
_atom_site_fract_y
_atom_site_fract_z
Pm1 Pm 0.000 0.000 0.142
Pm2 Pm 0.500 0.500 0.320
Nd1 Nd 0.000 0.000 0.500
Hg1 Hg 0.500 0.500 0.000
# **Volume**: 194.1 Å³ per cell
# **Energy of formation**: -0.15 eV per atom

---

4.
# PmNd2Hg3 PBE-GGA optimized geometry
data_PmNd2Hg3
_chemical_formula_sum 'Pm1 Nd2 Hg3'
_space_group_name_H-M_alt 'P 4/m m m'
_space_group_IT_number 123
_space_group_name_Hall '-P 4 2'
_cell_length_a 3.833
_cell_length_b 3.833
_cell_length_c 11.485
_cell_angle_alpha 90.00
_cell_angle_beta 90.00
_cell_angle_gamma 90.00
loop_
_atom_site_label
_atom_site_type_symbol
_atom_site_fract_x
_atom_site_fract_y
_atom_site_fract_z
Pm1 Pm 0.000 0.000 0.000
Nd1 Nd 0.000 0.000 0.332
Hg1 Hg 0.500 0.500 0.164
Hg2 Hg 0.500 0.500 0.500
# **Volume**: 168.7 Å³ per cell
# **Energy of formation**: -0.47 eV per atom

---

5.
# Pm3NdHg PBE-GGA optimized geometry
data_Pm3NdHg
_chemical_formula_sum 'Pm12 Nd4 Hg4'
_space_group_name_H-M_alt 'C 1 2/m 1'
_space_group_IT_number 12
_cell_length_a 11.582
_cell_length_b 7.622
_cell_length_c 8.089
_cell_angle_alpha 90.00
_cell_angle_beta 110.71
_cell_angle_gamma 90.00
loop_
_space_group_symop_operation_xyz
'x,y,z'
'-x,-y,-z'
'-x,y,-z'
'x,-y,z'
'x+1/2,y+1/2,z'
'-x+1/2,-y+1/2,-z'
'-x+1/2,y+1/2,-z'
'x+1/2,-y+1/2,z'
loop_
_atom_site_label
_atom_site_type_symbol
_atom_site_fract_x
_atom_site_fract_y
_atom_site_fract_z
Pm1 Pm 0.061 0.000 0.242
Pm2 Pm 0.161 0.250 0.646
Nd1 Nd 0.061 0.500 0.240
Hg1 Hg 0.247 0.000 0.000
# **Volume**: 668.0 Å³ per cell
# **Energy of formation**: -0.09 eV per atom

---

6.
# Pm2NdHg3 PBE-GGA optimized geometry
data_Pm2NdHg3
_chemical_formula_sum 'Pm2 Nd1 Hg3'
_space_group_name_H-M_alt 'P 4/m m m'
_space_group_IT_number 123
_space_group_name_Hall '-P 4 2'
_cell_length_a 3.825
_cell_length_b 3.825
_cell_length_c 11.452
_cell_angle_alpha 90.00
_cell_angle_beta 90.00
_cell_angle_gamma 90.00
loop_
_atom_site_label
_atom_site_type_symbol
_atom_site_fract_x
_atom_site_fract_y
_atom_site_fract_z
Pm1 Pm 0.000 0.000 0.166
Nd1 Nd 0.000 0.000 0.500
Hg1 Hg 0.500 0.500 0.000
Hg2 Hg 0.500 0.500 0.331
# **Volume**: 167.5 Å³ per cell
# **Energy of formation**: -0.47 eV per atom

---

7.
# Pm5Nd4Hg4 PBE-GGA optimized geometry
data_Pm5Nd4Hg4
_chemical_formula_sum 'Pm10 Nd8 Hg8'
_space_group_name_H-M_alt 'I 4/m'
_space_group_IT_number 87
_space_group_name_Hall '-I 4'
_cell_length_a 12.298
_cell_length_b 12.298
_cell_length_c 5.324
_cell_angle_alpha 90.00
_cell_angle_beta 90.00
_cell_angle_gamma 90.00
loop_
_atom_site_label
_atom_site_type_symbol
_atom_site_fract_x
_atom_site_fract_y
_atom_site_fract_z
Pm1 Pm 0.000 0.000 0.000
Pm2 Pm 0.117 0.817 0.500
Nd1 Nd 0.098 0.612 0.000
Hg1 Hg 0.102 0.235 0.000
# **Volume**: 805.3 Å³ per cell
# **Energy of formation**: -0.30 eV per atom

---

8.
# PmPrNdHg PBE-GGA optimized geometry
data_PmPrNdHg
_chemical_formula_sum 'Pm4 Pr4 Nd4 Hg4'
_space_group_name_H-M_alt 'F -4 3 m'
_space_group_IT_number 216
_space_group_name_Hall 'F -4 2 3'
_cell_length_a 7.885
_cell_length_b 7.885
_cell_length_c 7.885
_cell_angle_alpha 90.00
_cell_angle_beta 90.00
_cell_angle_gamma 90.00
loop_
_atom_site_label
_atom_site_type_symbol
_atom_site_fract_x
_atom_site_fract_y
_atom_site_fract_z
Pm1 Pm 0.000 0.000 0.000
Pr1 Pr 0.250 0.250 0.750
Nd1 Nd 0.250 0.250 0.250
Hg1 Hg 0.000 0.000 0.500
# **Volume**: 490.2 Å³ per cell
# **Energy of formation**: -0.07 eV per atom

---

9.
# PmPrNdHg PBE-GGA optimized geometry
data_PmPrNdHg
_chemical_formula_sum 'Pm1 Pr1 Nd1 Hg1'
_space_group_name_H-M_alt 'P 4 m m'
_space_group_IT_number 99
_cell_length_a 3.755
_cell_length_b 3.755
_cell_length_c 9.014
_cell_angle_alpha 90.00
_cell_angle_beta 90.00
_cell_angle_gamma 90.00
loop_
_space_group_symop_operation_xyz
'x,y,z'
'-y,x,z'
'-x,-y,z'
'y,-x,z'
'-x,y,z'
'y,x,z'
'x,-y,z'
'-y,-x,z'
loop_
_atom_site_label
_atom_site_type_symbol
_atom_site_fract_x
_atom_site_fract_y
_atom_site_fract_z
Pm1 Pm 0.000 0.000 0.000
Pr1 Pr 0.500 0.500 0.720
Nd1 Nd 0.000 0.000 0.437
Hg1 Hg 0.500 0.500 0.215
# **Volume**: 127.1 Å³ per cell
# **Energy of formation**: -0.23 eV per atom

---

10.
# PmNdHgPt PBE-GGA optimized geometry
data_PmNdHgPt
_chemical_formula_sum 'Pm4 Nd4 Hg4 Pt4'
_space_group_name_H-M_alt 'F -4 3 m'
_space_group_IT_number 216
_space_group_name_Hall 'F -4 2 3'
_cell_length_a 7.410
_cell_length_b 7.410
_cell_length_c 7.410
_cell_angle_alpha 90.00
_cell_angle_beta 90.00
_cell_angle_gamma 90.00
loop_
_atom_site_label
_atom_site_type_symbol
_atom_site_fract_x
_atom_site_fract_y
_atom_site_fract_z
Pm1 Pm 0.000 0.000 0.000
Nd1 Nd 0.000 0.000 0.500
Hg1 Hg 0.250 0.250 0.750
Pt1 Pt 0.250 0.250 0.250
# **Volume**: 406.8 Å³ per cell
# **Energy of formation**: -0.73 eV per atom

---

11.
# Pm3Nd3Hg2Rh PBE-GGA optimized geometry
data_Pm3Nd3Hg2Rh
_chemical_formula_sum 'Pm3 Nd3 Hg2 Rh1'
_space_group_name_H-M_alt 'P -6 2 m'
_space_group_IT_number 189
_space_group_name_Hall 'P -6 -2'
_cell_length_a 8.8841
_cell_length_b 8.8841
_cell_length_c 3.8148
_cell_angle_alpha 90.00
_cell_angle_beta 90.00
_cell_angle_gamma 120.00
loop_
_atom_site_label
_atom_site_type_symbol
_atom_site_fract_x
_atom_site_fract_y
_atom_site_fract_z
Pm1 Pm 0.0000 0.7578 0.0000
Nd1 Nd 0.0000 0.4028 0.5000
Hg1 Hg 0.3333 0.6667 0.0000
Rh1 Rh 0.0000 0.0000 0.5000
# **Volume**: 260.8 Å³ per cell
# **Energy of formation**: -0.40 eV per atom

---

12.
# PmNdHgRu PBE-GGA optimized geometry
data_PmNdHgRu
_chemical_formula_sum 'Pm1 Nd1 Hg1 Ru1'
_space_group_name_H-M_alt 'P 4 m m'
_space_group_IT_number 99
_cell_length_a 3.570
_cell_length_b 3.570
_cell_length_c 7.782
_cell_angle_alpha 90.00
_cell_angle_beta 90.00
_cell_angle_gamma 90.00
loop_
_space_group_symop_operation_xyz
'x,y,z'
'-y,x,z'
'-x,-y,z'
'y,-x,z'
'-x,y,z'
'y,x,z'
'x,-y,z'
'-y,-x,z'
loop_
_atom_site_label
_atom_site_type_symbol
_atom_site_fract_x
_atom_site_fract_y
_atom_site_fract_z
Pm1 Pm 0.000 0.000 0.000
Nd1 Nd 0.000 0.000 0.440
Hg1 Hg 0.500 0.500 0.723
Ru1 Ru 0.500 0.500 0.218
# **Volume**: 99.2 Å³ per cell
# **Energy of formation**: -0.34 eV per atom

---

13.
# PmNdHgRu PBE-GGA optimized geometry
data_PmNdHgRu
_chemical_formula_sum 'Pm4 Nd4 Hg4 Ru4'
_space_group_name_H-M_alt 'F -4 3 m'
_space_group_IT_number 216
_space_group_name_Hall 'F -4 2 3'
_cell_length_a 7.320
_cell_length_b 7.320
_cell_length_c 7.320
_cell_angle_alpha 90.00
_cell_angle_beta 90.00
_cell_angle_gamma 90.00
loop_
_atom_site_label
_atom_site_type_symbol
_atom_site_fract_x
_atom_site_fract_y
_atom_site_fract_z
Pm1 Pm 0.000 0.000 0.000
Nd1 Nd 0.000 0.000 0.500
Hg1 Hg 0.250 0.250 0.250
Ru1 Ru 0.250 0.250 0.750
# **Volume**: 392.2 Å³ per cell
# **Energy of formation**: -0.25 eV per atom

---

14.
# PmNdHgSb PBE-GGA optimized geometry
data_PmNdHgSb
_chemical_formula_sum 'Pm4 Nd4 Hg4 Sb4'
_space_group_name_H-M_alt 'F -4 3 m'
_space_group_IT_number 216
_space_group_name_Hall 'F -4 2 3'
_cell_length_a 7.675
_cell_length_b 7.675
_cell_length_c 7.675
_cell_angle_alpha 90.00
_cell_angle_beta 90.00
_cell_angle_gamma 90.00
loop_
_atom_site_label
_atom_site_type_symbol
_atom_site_fract_x
_atom_site_fract_y
_atom_site_fract_z
Pm1 Pm 0.000 0.000 0.000
Nd1 Nd 0.000 0.000 0.500
Hg1 Hg 0.250 0.250 0.750
Sb1 Sb 0.250 0.250 0.250
# **Calculated total energy**: -66.57 eV for the cell shown
# **Volume**: 452.1 Å³ per cell

---

15.
# PmNdScHg PBE-GGA optimized geometry
data_PmNdScHg
_chemical_formula_sum 'Pm4 Nd4 Sc4 Hg4'
_space_group_name_H-M_alt 'F -4 3 m'
_space_group_IT_number 216
_space_group_name_Hall 'F -4 2 3'
_cell_length_a 7.601
_cell_length_b 7.601
_cell_length_c 7.601
_cell_angle_alpha 90.00
_cell_angle_beta 90.00
_cell_angle_gamma 90.00
loop_
_atom_site_label
_atom_site_type_symbol
_atom_site_fract_x
_atom_site_fract_y
_atom_site_fract_z
Pm1 Pm 0.000 0.000 0.000
Nd1 Nd 0.250 0.250 0.250
Sc1 Sc 0.250 0.250 0.750
Hg1 Hg 0.000 0.000 0.500
# **Volume**: 439.1 Å³ per cell
# **Energy of formation**: -0.02 eV per atom

---

16.
# Pm2NdSn2Hg2 PBE-GGA optimized geometry
data_Pm2NdSn2Hg2
_chemical_formula_sum 'Pm6 Nd3 Sn6 Hg6'
_space_group_name_H-M_alt 'R -3 m'
_space_group_IT_number 166
_space_group_name_Hall '-R 3 2"'
_cell_length_a 5.0060
_cell_length_b 5.0060
_cell_length_c 27.7820
_cell_angle_alpha 90.00
_cell_angle_beta 90.00
_cell_angle_gamma 120.00
loop_
_atom_site_label
_atom_site_type_symbol
_atom_site_fract_x
_atom_site_fract_y
_atom_site_fract_z
Pm1 Pm 0.0000 0.0000 0.1308
Nd1 Nd 0.0000 0.0000 0.0000
Sn1 Sn 0.0000 0.0000 0.2708
Hg1 Hg 0.0000 0.0000 0.4284
# **Volume**: 603.0 Å³ per cell
# **Energy of formation**: -0.37 eV per atom

---

17.
# PmNd2Sn2Hg2 PBE-GGA optimized geometry
data_PmNd2Sn2Hg2
_chemical_formula_sum 'Pm3 Nd6 Sn6 Hg6'
_space_group_name_H-M_alt 'R -3 m'
_space_group_IT_number 166
_space_group_name_Hall '-R 3 2"'
_cell_length_a 5.0074
_cell_length_b 5.0074
_cell_length_c 27.9089
_cell_angle_alpha 90.00
_cell_angle_beta 90.00
_cell_angle_gamma 120.00
loop_
_atom_site_label
_atom_site_type_symbol
_atom_site_fract_x
_atom_site_fract_y
_atom_site_fract_z
Pm1 Pm 0.0000 0.0000 0.0000
Nd1 Nd 0.0000 0.0000 0.1304
Sn1 Sn 0.0000 0.0000 0.2721
Hg1 Hg 0.0000 0.0000 0.4266
# **Volume**: 606.0 Å³ per cell
# **Energy of formation**: -0.36 eV per atom

---

18.
# Tb2PmNdHg4 PBE-GGA optimized geometry
data_Tb2PmNdHg4
_chemical_formula_sum 'Tb6 Pm3 Nd3 Hg12'
_space_group_name_H-M_alt 'R -3 m'
_space_group_IT_number 166
_space_group_name_Hall '-R 3 2"'
_cell_length_a 5.3528
_cell_length_b 5.3528
_cell_length_c 26.1942
_cell_angle_alpha 90.00
_cell_angle_beta 90.00
_cell_angle_gamma 120.00
loop_
_atom_site_label
_atom_site_type_symbol
_atom_site_fract_x
_atom_site_fract_y
_atom_site_fract_z
Tb1 Tb 0.0000 0.0000 0.2501
Pm1 Pm 0.0000 0.0000 0.0000
Nd1 Nd 0.0000 0.0000 0.5000
Hg1 Hg 0.0000 0.0000 0.1245
Hg2 Hg 0.0000 0.0000 0.3745
# **Volume**: 650.0 Å³ per cell
# **Energy of formation**: -0.47 eV per atom

---

19.
# PmNd2TlHg4 PBE-GGA optimized geometry
data_PmNd2TlHg4
_chemical_formula_sum 'Pm3 Nd6 Tl3 Hg12'
_space_group_name_H-M_alt 'R -3 m'
_space_group_IT_number 166
_space_group_name_Hall '-R 3 2"'
_cell_length_a 5.3067
_cell_length_b 5.3067
_cell_length_c 27.0396
_cell_angle_alpha 90.00
_cell_angle_beta 90.00
_cell_angle_gamma 120.00
loop_
_atom_site_label
_atom_site_type_symbol
_atom_site_fract_x
_atom_site_fract_y
_atom_site_fract_z
Pm1 Pm 0.0000 0.0000 0.0000
Nd1 Nd 0.0000 0.0000 0.2409
Tl1 Tl 0.0000 0.0000 0.5000
Hg1 Hg 0.0000 0.0000 0.1192
Hg2 Hg 0.0000 0.0000 0.3677
# **Volume**: 659.4 Å³ per cell
# **Energy of formation**: -0.41 eV per atom

---

20.
# PmNdTlHg PBE-GGA optimized geometry
data_PmNdTlHg
_chemical_formula_sum 'Pm4 Nd4 Tl4 Hg4'
_space_group_name_H-M_alt 'F -4 3 m'
_space_group_IT_number 216
_space_group_name_Hall 'F -4 2 3'
_cell_length_a 7.731
_cell_length_b 7.731
_cell_length_c 7.731
_cell_angle_alpha 90.00
_cell_angle_beta 90.00
_cell_angle_gamma 90.00
loop_
_atom_site_label
_atom_site_type_symbol
_atom_site_fract_x
_atom_site_fract_y
_atom_site_fract_z
Pm1 Pm 0.000 0.000 0.000
Nd1 Nd 0.000 0.000 0.500
Tl1 Tl 0.250 0.250 0.250
Hg1 Hg 0.250 0.250 0.750
# **Volume**: 462.1 Å³ per cell
# **Energy of formation**: -0.43 eV per atom